1.
DFT (SCAN) results for a PBEsol-optimized structure of Ca2RePdAu.

Cell and atoms, written as extended XYZ:
```
5
Lattice="5.149 0.000 0.000 0.000 5.149 0.000 0.000 0.000 4.984" Properties=species:S:1:pos:R:3 pbc="T T T"
Ca 0.000 2.574 0.000
Ca 2.574 0.000 0.000
Re 0.000 0.000 2.492
Pd 2.574 2.574 0.000
Au 2.574 2.574 2.492
```

As for the density: 7.16 g cm⁻³. The value obtained for the total energy is -37.604 eV per atom.

=====

2.
DFT (SCAN) results for a PBEsol-optimized structure of TcPd3N.

Cell and atoms, written as extended XYZ:
```
5
Lattice="4.101 0.000 0.000 0.000 4.101 0.000 0.000 0.000 4.101" Properties=species:S:1:pos:R:3 pbc="T T T"
Tc 0.000 0.000 0.000
Pd 0.000 2.050 2.050
Pd 2.050 0.000 2.050
Pd 2.050 2.050 0.000
N 2.050 2.050 2.050
```

As for the density: 10.38 g cm⁻³. For the formation energy without anion corrections, the calculation gives 0.549 eV per atom.

=====

3.
DFT (SCAN) results for a PBEsol-optimized structure of BaCa2Al.

Cell and atoms, written as extended XYZ:
```
4
Lattice="3.758 0.000 0.000 0.000 3.758 0.000 0.000 0.000 10.199" Properties=species:S:1:pos:R:3 pbc="T T T"
Ba 0.000 0.000 0.000
Ca 1.879 1.879 3.285
Ca 1.879 1.879 6.915
Al 0.000 0.000 5.100
```

As for the density: 2.82 g cm⁻³. The value obtained for the total energy is -16.705 eV per atom.

=====

4.
DFT (SCAN) results for a PBEsol-optimized structure of SrCrBr2.

Cell and atoms, written as extended XYZ:
```
12
Lattice="4.121 0.000 0.000 -2.061 3.569 0.000 0.000 0.000 26.312" Properties=species:S:1:pos:R:3 pbc="T T T"
Sr 0.000 0.000 0.000
Sr 0.000 2.379 17.541
Sr 2.061 1.190 8.770
Cr 0.000 0.000 13.156
Cr 0.000 2.379 4.385
Cr 2.061 1.190 21.926
Br 0.000 0.000 3.016
Br 0.000 0.000 23.295
Br 0.000 2.379 14.525
Br 0.000 2.379 20.557
Br 2.061 1.190 5.754
Br 2.061 1.190 11.787
```

As for the density: 3.85 g cm⁻³. For the formation energy without anion corrections, the calculation gives -0.790 eV per atom. The energy above the most stable polymorph in this dataset comes out at 0.000 eV/atom.

=====

5.
DFT (SCAN) results for a PBEsol-optimized structure of Ca2FeIrO6.

Cell and atoms, written as extended XYZ:
```
20
Lattice="5.250 0.000 0.000 0.000 5.440 0.000 -5.245 0.000 7.502" Properties=species:S:1:pos:R:3 pbc="T T T"
Ca -0.082 0.328 1.878
Ca -2.705 2.392 5.629
Ca 2.710 3.048 1.873
Ca 0.088 5.112 5.624
Fe 2.625 0.000 0.000
Fe 0.003 2.720 3.751
Ir -2.623 0.000 3.751
Ir 0.000 2.720 0.000
O -4.180 1.060 7.152
O -1.558 1.660 3.401
O -3.622 3.855 7.139
O -1.000 4.305 3.388
O -2.130 0.119 5.680
O 0.493 2.601 1.929
O -0.487 2.840 5.573
O 2.135 5.321 1.822
O 1.005 1.135 4.114
O 3.628 1.585 0.363
O 1.563 3.780 4.100
O 4.186 4.380 0.349
```

As for the density: 6.58 g cm⁻³. For the formation energy without anion corrections, the calculation gives -2.068 eV per atom.

=====

6.
DFT (SCAN) results for a PBEsol-optimized structure of KFeI2N.

Cell and atoms, written as extended XYZ:
```
5
Lattice="6.231 0.000 0.000 0.000 6.231 0.000 0.000 0.000 4.837" Properties=species:S:1:pos:R:3 pbc="T T T"
K 0.000 0.000 0.000
Fe 3.115 3.115 2.419
I 0.000 3.115 0.000
I 3.115 0.000 0.000
N 0.000 0.000 2.419
```

As for the density: 3.21 g cm⁻³. For the formation energy without anion corrections, the calculation gives 1.108 eV per atom.

=====

7.
DFT (SCAN) results for a PBEsol-optimized structure of CdCu3.

Cell and atoms, written as extended XYZ:
```
4
Lattice="3.762 0.000 0.000 0.000 3.762 0.000 0.000 0.000 3.762" Properties=species:S:1:pos:R:3 pbc="T T T"
Cd 0.000 0.000 0.000
Cu 0.000 1.881 1.881
Cu 1.881 0.000 1.881
Cu 1.881 1.881 0.000
```

As for the density: 9.45 g cm⁻³. The value obtained for the total energy is -18.917 eV per atom.

=====

8.
DFT (SCAN) results for a PBEsol-optimized structure of SrCrSi2P.

Cell and atoms, written as extended XYZ:
```
5
Lattice="4.492 0.000 0.000 0.000 4.492 0.000 0.000 0.000 5.617" Properties=species:S:1:pos:R:3 pbc="T T T"
Sr 0.000 0.000 0.000
Cr 0.000 0.000 2.808
Si 0.000 2.246 2.808
Si 2.246 0.000 2.808
P 2.246 2.246 0.000
```

As for the density: 3.32 g cm⁻³. For the formation energy without anion corrections, the calculation gives 0.419 eV per atom.

=====

9.
DFT (SCAN) results for a PBEsol-optimized structure of Sc2Fe3Ru.

Cell and atoms, written as extended XYZ:
```
12
Lattice="4.828 0.000 0.000 -2.414 4.181 0.000 0.000 0.000 8.213" Properties=species:S:1:pos:R:3 pbc="T T T"
Sc 0.000 2.787 0.539
Sc 0.000 2.787 3.567
Sc 2.414 1.394 4.646
Sc 2.414 1.394 7.673
Fe 0.000 1.440 6.159
Fe -1.167 3.461 6.159
Fe 1.247 0.720 2.053
Fe 1.167 3.461 6.159
Fe 3.581 0.720 2.053
Fe 2.414 2.742 2.053
Ru 0.000 0.000 0.000
Ru 0.000 0.000 4.106
```

As for the density: 7.18 g cm⁻³. The value obtained for the total energy is -19.901 eV per atom.

=====

10.
DFT (SCAN) results for a PBEsol-optimized structure of Mg2ZnO3.

Cell and atoms, written as extended XYZ:
```
6
Lattice="2.999 0.000 0.000 -1.500 2.597 0.000 0.000 0.000 7.324" Properties=species:S:1:pos:R:3 pbc="T T T"
Mg 0.000 1.732 1.217
Mg 1.500 0.866 6.107
Zn 0.000 0.000 3.662
O 0.000 0.000 0.000
O 0.000 1.732 4.917
O 1.500 0.866 2.407
```

As for the density: 4.72 g cm⁻³. For the formation energy without anion corrections, the calculation gives -2.512 eV per atom.

=====

11.
DFT (SCAN) results for a PBEsol-optimized structure of Co2SiH2.

Cell and atoms, written as extended XYZ:
```
10
Lattice="2.730 0.000 0.000 0.000 2.730 0.000 0.000 0.000 9.638" Properties=species:S:1:pos:R:3 pbc="T T T"
Co 0.000 0.000 1.328
Co 0.000 0.000 8.310
Co 1.365 1.365 3.491
Co 1.365 1.365 6.147
Si 0.000 0.000 4.819
Si 1.365 1.365 0.000
H 0.000 1.365 2.410
H 0.000 1.365 7.229
H 1.365 0.000 2.410
H 1.365 0.000 7.229
```

As for the density: 6.84 g cm⁻³. The value obtained for the total energy is -10.398 eV per atom.

=====

12.
DFT (SCAN) results for a PBEsol-optimized structure of TlHg4Br.

Cell and atoms, written as extended XYZ:
```
6
Lattice="0.000 4.339 4.339 4.339 0.000 4.339 4.339 4.339 0.000" Properties=species:S:1:pos:R:3 pbc="T T T"
Tl 0.000 0.000 0.000
Hg 3.257 3.257 3.257
Hg 5.420 5.420 3.257
Hg 5.420 3.257 5.420
Hg 3.257 5.420 5.420
Br 6.508 6.508 6.508
```

As for the density: 11.05 g cm⁻³. For the formation energy without anion corrections, the calculation gives -0.179 eV per atom.